Below is a geometry-optimized Ce4Pr3Se8 structure, with properties calculated at the PBE level.

Computed properties:
Formation energy from raw total energies, eV per atom: -1.84
Calculated volume, Å³/atom: 28.51
Total moment, μB/f.u.: 4.8

abc: 8.452 8.457 8.457
angles: 90.01 119.98 119.98
Each line ends with the local moment (μB).
Fractional coordinates of all 15 atoms:
Ce 0.500 0.000 0.000  0.91
Ce 0.000 0.500 0.000  0.95
Ce 0.000 0.000 0.000  0.99
Ce 0.000 0.000 0.500  0.95
Pr 0.500 0.500 0.000  0.05
Pr 0.500 0.000 0.500  0.05
Pr 0.500 0.500 0.500  0.03
Se 0.502 0.249 0.249  -0.01
Se 0.000 0.749 0.251  -0.02
Se 0.997 0.250 0.250  -0.02
Se 0.500 0.752 0.248  -0.01
Se 0.500 0.248 0.752  -0.01
Se 0.003 0.750 0.750  -0.02
Se 0.000 0.251 0.749  -0.02
Se 0.498 0.751 0.751  -0.01



Below is a geometry-optimized Tb2PmThN4 structure, with properties calculated at the PBE level.

Computed properties:
Formation energy from raw total energies, eV per atom: -1.60
Calculated volume, Å³/atom: 16.10
Total moment, μB/f.u.: 0.0

abc: 3.578 6.180 6.174
angles: 109.36 90.00 90.00
Fractional coordinates of all 8 atoms:
Tb 0.500 0.000 0.500
Tb 0.000 0.500 0.500
Pm 0.000 0.000 0.000
Th 0.500 0.500 0.000
N 0.500 0.257 0.254
N 0.500 0.743 0.746
N 0.000 0.253 0.747
N 0.000 0.747 0.253



Below is a geometry-optimized Er3ScSn structure, with properties calculated at the PBE level.

Computed properties:
Energy of formation from the pure elements, eV/f.u.: -1.34
Calculated volume, Å³/atom: 27.19
Total moment, μB/f.u.: 0.0

abc: 9.022 7.552 7.932
angles: 86.77 123.67 133.84
Fractional coordinates of all 10 atoms:
Er 0.058 0.347 0.622
Er 0.005 0.716 0.378
Er 0.512 0.808 0.580
Er 0.981 0.083 0.167
Er 0.552 0.255 0.420
Er 0.082 0.980 0.833
Sc 0.532 0.032 0.000
Sc 0.032 0.532 0.000
Sn 0.531 0.650 0.227
Sn 0.532 0.413 0.773



Number 1: Fermi-level density of states 26.81 states/eV per cell. Number 2: Fermi-level density of states 1.75 states/eV per cell. Number 3: Fermi-level density of states 12.07 states/eV per cell.